Below is an optimized crystal structure of Fe4Sb3, with properties calculated at the PBE level.

a b c (Å): 4.040 4.040 9.608
angles (deg): 90.00 90.00 120.00
Positions (direct):
1 Fe 0.333 0.667 0.115
2 Fe 0.333 0.667 0.628
3 Fe 0.333 0.667 0.372
4 Fe 0.333 0.667 0.885
5 Sb 0.000 0.000 0.500
6 Sb 0.667 0.333 0.223
7 Sb 0.667 0.333 0.777

## Properties
Formation energy without anion corrections = 0.4311 eV per atom
Space-group type = P-6m2
Polymorph energy (0 for the lowest one) = 291 meV/atom